No. 1
CsK2Rb10 | PBE | relaxed

DOS at the Fermi energy: 11.0 states/eV per cell

Cell: 16.324 12.426 12.376 Å, 82.32 48.97 48.71°
Fractional coordinates of all 13 atoms:
Cs  0.000  0.000  0.000
K  0.000  0.000  0.500
K  0.500  0.500  0.000
Rb  0.000  0.500  0.000
Rb  0.005  0.646  0.354
Rb  0.289  0.503  0.497
Rb  0.354  0.995  0.005
Rb  0.497  0.711  0.289
Rb  0.500  0.000  0.500
Rb  0.503  0.289  0.711
Rb  0.646  0.005  0.995
Rb  0.711  0.497  0.503
Rb  0.995  0.354  0.646

=====

No. 2
Cs6KRb12 | PBE | relaxed

DOS at the Fermi energy: 19.6 states/eV per cell

Cell: 12.870 12.870 12.870 Å, 72.50 72.50 72.50°
Fractional coordinates of all 19 atoms:
Cs  0.148  0.148  0.533
Cs  0.148  0.533  0.148
Cs  0.467  0.852  0.852
Cs  0.533  0.148  0.148
Cs  0.852  0.467  0.852
Cs  0.852  0.852  0.467
K  0.000  0.000  0.000
Rb  0.103  0.762  0.762
Rb  0.205  0.524  0.524
Rb  0.238  0.238  0.897
Rb  0.238  0.897  0.238
Rb  0.476  0.476  0.795
Rb  0.476  0.795  0.476
Rb  0.524  0.205  0.524
Rb  0.524  0.524  0.205
Rb  0.762  0.103  0.762
Rb  0.762  0.762  0.103
Rb  0.795  0.476  0.476
Rb  0.897  0.238  0.238

=====

No. 3
Cs4K4Rb3 | PBE | relaxed

DOS at the Fermi energy: 10.0 states/eV per cell

Cell: 4.849 8.115 26.083 Å, 81.20 84.82 89.89°
Fractional coordinates of all 11 atoms:
Cs  0.094  0.089  0.320
Cs  0.229  0.728  0.044
Cs  0.771  0.272  0.956
Cs  0.906  0.911  0.680
K  0.034  0.544  0.414
K  0.182  0.180  0.140
K  0.818  0.820  0.860
K  0.966  0.456  0.586
Rb  0.364  0.365  0.771
Rb  0.500  0.000  0.500
Rb  0.636  0.635  0.229

=====

No. 4
Cs2K2Rb | PBE | relaxed

DOS at the Fermi energy: 10.1 states/eV per cell

Cell: 13.616 13.616 5.133 Å, 90.00 90.00 90.00°
Fractional coordinates of all 10 atoms:
Cs  0.134  0.366  0.000
Cs  0.366  0.866  0.000
Cs  0.634  0.134  0.000
Cs  0.866  0.634  0.000
K  0.165  0.665  0.500
K  0.335  0.165  0.500
K  0.665  0.835  0.500
K  0.835  0.335  0.500
Rb  0.000  0.000  0.000
Rb  0.500  0.500  0.000

=====

No. 5
Cs12KRb4 | PBE | relaxed

DOS at the Fermi energy: 17.9 states/eV per cell

Cell: 15.615 15.615 15.615 Å, 109.47 109.47 109.47°
Fractional coordinates of all 17 atoms:
Cs  0.000  0.349  0.651
Cs  0.000  0.651  0.349
Cs  0.303  0.651  0.651
Cs  0.349  0.000  0.651
Cs  0.349  0.349  0.697
Cs  0.349  0.651  0.000
Cs  0.349  0.697  0.349
Cs  0.651  0.000  0.349
Cs  0.651  0.303  0.651
Cs  0.651  0.349  0.000
Cs  0.651  0.651  0.303
Cs  0.697  0.349  0.349
K  0.000  0.000  0.000
Rb  0.000  0.000  0.500
Rb  0.000  0.500  0.000
Rb  0.500  0.000  0.000
Rb  0.500  0.500  0.500

=====

No. 6
Cs2K5Rb2 | PBE | relaxed

DOS at the Fermi energy: 15.8 states/eV per cell

Cell: 14.030 14.030 14.030 Å, 85.22 106.80 142.58°
Fractional coordinates of all 18 atoms:
Cs  0.005  0.124  0.129
Cs  0.005  0.376  0.381
Cs  0.995  0.624  0.619
Cs  0.995  0.876  0.871
K  0.107  0.616  0.990
K  0.140  0.012  0.418
K  0.140  0.222  0.628
K  0.422  0.116  0.202
K  0.422  0.720  0.805
K  0.594  0.512  0.372
K  0.594  0.722  0.582
K  0.626  0.116  0.010
K  0.915  0.220  0.798
K  0.915  0.616  0.195
Rb  0.487  0.487  0.000
Rb  0.487  0.987  0.500
Rb  0.514  0.772  0.242
Rb  0.529  0.272  0.758

=====

No. 7
CsK16Rb2 | PBE | relaxed

DOS at the Fermi energy: 16.1 states/eV per cell

Cell: 11.588 11.588 11.588 Å, 78.94 78.94 78.94°
Fractional coordinates of all 19 atoms:
Cs  0.000  0.000  0.000
K  0.003  0.583  0.583
K  0.229  0.591  0.902
K  0.229  0.902  0.591
K  0.293  0.293  0.656
K  0.293  0.656  0.293
K  0.386  0.938  0.938
K  0.583  0.003  0.583
K  0.583  0.583  0.003
K  0.591  0.229  0.902
K  0.591  0.902  0.229
K  0.656  0.293  0.293
K  0.820  0.820  0.820
K  0.902  0.229  0.591
K  0.902  0.591  0.229
K  0.938  0.386  0.938
K  0.938  0.938  0.386
Rb  0.239  0.239  0.239
Rb  0.584  0.584  0.584

=====

No. 8
Cs4K5Rb3 | PBE | relaxed

DOS at the Fermi energy: 10.3 states/eV per cell

Cell: 11.192 11.192 14.196 Å, 113.82 113.82 44.97°
Fractional coordinates of all 12 atoms:
Cs  0.050  0.050  0.354
Cs  0.255  0.255  0.738
Cs  0.745  0.745  0.262
Cs  0.950  0.950  0.646
K  0.000  0.000  0.000
K  0.308  0.308  0.451
K  0.450  0.450  0.295
K  0.550  0.550  0.705
K  0.692  0.692  0.549
Rb  0.217  0.217  0.048
Rb  0.500  0.500  0.000
Rb  0.783  0.783  0.952

=====

No. 9
CsK12Rb16 | PBE | relaxed

DOS at the Fermi energy: 21.4 states/eV per cell

Cell: 14.723 14.723 14.586 Å, 109.22 109.22 109.68°
Fractional coordinates of all 29 atoms:
Cs  0.000  0.000  0.000
K  0.033  0.033  0.538
K  0.040  0.228  0.360
K  0.219  0.591  0.533
K  0.224  0.224  0.902
K  0.228  0.040  0.360
K  0.406  0.778  0.908
K  0.407  0.594  0.092
K  0.590  0.774  0.719
K  0.591  0.219  0.533
K  0.594  0.407  0.092
K  0.774  0.590  0.719
K  0.778  0.406  0.908
Rb  0.000  0.686  0.313
Rb  0.051  0.409  0.724
Rb  0.091  0.410  0.127
Rb  0.091  0.810  0.718
Rb  0.130  0.724  0.039
Rb  0.405  0.405  0.363
Rb  0.406  0.406  0.721
Rb  0.407  0.814  0.405
Rb  0.409  0.051  0.724
Rb  0.410  0.091  0.127
Rb  0.686  0.000  0.313
Rb  0.721  0.721  0.444
Rb  0.724  0.130  0.039
Rb  0.755  0.755  0.076
Rb  0.810  0.091  0.718
Rb  0.814  0.407  0.405

=====

No. 10
Cs2K5Rb | PBE | relaxed

DOS at the Fermi energy: 6.7 states/eV per cell

Cell: 9.577 9.577 10.687 Å, 123.91 123.91 68.11°
Fractional coordinates of all 8 atoms:
Cs  0.000  0.000  0.000
Cs  0.502  0.502  0.500
K  0.021  0.478  0.978
K  0.023  0.480  0.521
K  0.478  0.021  0.978
K  0.480  0.023  0.521
K  0.534  0.534  0.033
Rb  0.961  0.961  0.460

=====

No. 11
Cs4KRb | PBE | relaxed

DOS at the Fermi energy: 5.7 states/eV per cell

Cell: 9.712 9.712 9.712 Å, 60.00 60.00 60.00°
Fractional coordinates of all 6 atoms:
Cs  0.125  0.125  0.125
Cs  0.125  0.125  0.625
Cs  0.125  0.625  0.125
Cs  0.625  0.125  0.125
K  0.500  0.500  0.500
Rb  0.750  0.750  0.750

=====

No. 12
Cs2K7Rb2 | PBE | relaxed

DOS at the Fermi energy: 7.5 states/eV per cell

Cell: 10.789 10.789 8.516 Å, 103.95 103.95 95.04°
Fractional coordinates of all 11 atoms:
Cs  0.214  0.214  0.090
Cs  0.786  0.786  0.910
K  0.000  0.000  0.500
K  0.072  0.601  0.350
K  0.399  0.928  0.650
K  0.401  0.401  0.677
K  0.599  0.599  0.323
K  0.601  0.072  0.350
K  0.928  0.399  0.650
Rb  0.257  0.743  0.000
Rb  0.743  0.257  0.000

=====

No. 13
Cs3K7Rb2 | PBE | relaxed

DOS at the Fermi energy: 9.4 states/eV per cell

Cell: 15.958 15.958 15.958 Å, 32.85 32.85 32.85°
Fractional coordinates of all 12 atoms:
Cs  0.000  0.000  0.000
Cs  0.143  0.143  0.143
Cs  0.857  0.857  0.857
K  0.083  0.588  0.588
K  0.412  0.412  0.917
K  0.412  0.917  0.412
K  0.500  0.500  0.500
K  0.588  0.083  0.588
K  0.588  0.588  0.083
K  0.917  0.412  0.412
Rb  0.334  0.334  0.334
Rb  0.666  0.666  0.666

=====

No. 14
Cs5K4Rb3 | PBE | relaxed

DOS at the Fermi energy: 11.3 states/eV per cell

Cell: 11.867 11.867 13.565 Å, 114.24 114.24 42.55°
Fractional coordinates of all 12 atoms:
Cs  0.000  0.000  0.000
Cs  0.297  0.297  0.128
Cs  0.424  0.424  0.580
Cs  0.576  0.576  0.420
Cs  0.703  0.703  0.872
K  0.064  0.064  0.687
K  0.277  0.277  0.755
K  0.723  0.723  0.245
K  0.936  0.936  0.313
Rb  0.173  0.173  0.379
Rb  0.500  0.500  0.000
Rb  0.827  0.827  0.621

=====

No. 15
Cs4K3Rb | PBE | relaxed

DOS at the Fermi energy: 15.7 states/eV per cell

Cell: 16.315 11.390 8.140 Å, 90.00 90.00 90.00°
Fractional coordinates of all 16 atoms:
Cs  0.000  0.245  0.000
Cs  0.000  0.755  0.000
Cs  0.250  0.245  0.486
Cs  0.250  0.755  0.486
Cs  0.500  0.245  0.000
Cs  0.500  0.755  0.000
Cs  0.750  0.245  0.514
Cs  0.750  0.755  0.514
K  0.000  0.000  0.500
K  0.250  0.000  0.983
K  0.250  0.500  0.986
K  0.500  0.000  0.500
K  0.750  0.000  0.017
K  0.750  0.500  0.014
Rb  0.000  0.500  0.500
Rb  0.500  0.500  0.500

=====

No. 16
Cs4K5Rb | PBE | relaxed

DOS at the Fermi energy: 8.5 states/eV per cell

Cell: 11.357 11.357 11.357 Å, 97.91 97.91 136.44°
Fractional coordinates of all 10 atoms:
Cs  0.001  0.686  0.687
Cs  0.314  0.001  0.315
Cs  0.686  0.999  0.685
Cs  0.999  0.314  0.313
K  0.327  0.329  0.630
K  0.329  0.699  0.001
K  0.697  0.327  0.999
K  0.699  0.697  0.370
K  0.756  0.756  0.000
Rb  0.238  0.238  0.000

=====

No. 17
Cs3K6Rb | PBE | relaxed

DOS at the Fermi energy: 17.2 states/eV per cell

Cell: 10.558 10.558 16.568 Å, 90.00 90.00 100.44°
Fractional coordinates of all 20 atoms:
Cs  0.113  0.887  0.500
Cs  0.233  0.389  0.512
Cs  0.389  0.233  0.012
Cs  0.611  0.767  0.512
Cs  0.767  0.611  0.012
Cs  0.887  0.113  0.000
K  0.040  0.612  0.267
K  0.112  0.210  0.255
K  0.210  0.112  0.755
K  0.293  0.707  0.741
K  0.388  0.960  0.267
K  0.449  0.551  0.252
K  0.551  0.449  0.752
K  0.612  0.040  0.767
K  0.707  0.293  0.241
K  0.790  0.888  0.255
K  0.888  0.790  0.755
K  0.960  0.388  0.767
Rb  0.271  0.729  0.011
Rb  0.729  0.271  0.511

=====

No. 18
CsK4Rb9 | PBE | relaxed

DOS at the Fermi energy: 25.7 states/eV per cell

Cell: 15.571 15.571 15.571 Å, 120.56 120.56 89.03°
Fractional coordinates of all 28 atoms:
Cs  0.250  0.250  0.000
Cs  0.750  0.750  0.000
K  0.061  0.561  0.851
K  0.210  0.061  0.500
K  0.290  0.790  0.851
K  0.439  0.290  0.500
K  0.561  0.710  0.500
K  0.710  0.210  0.149
K  0.790  0.939  0.500
K  0.939  0.439  0.149
Rb  0.000  0.500  0.500
Rb  0.058  0.812  0.500
Rb  0.065  0.200  0.264
Rb  0.188  0.688  0.246
Rb  0.200  0.935  0.135
Rb  0.300  0.435  0.736
Rb  0.312  0.558  0.500
Rb  0.435  0.700  0.135
Rb  0.442  0.942  0.754
Rb  0.500  0.000  0.500
Rb  0.558  0.058  0.246
Rb  0.565  0.300  0.865
Rb  0.688  0.442  0.500
Rb  0.700  0.565  0.264
Rb  0.800  0.065  0.865
Rb  0.812  0.312  0.754
Rb  0.935  0.800  0.736
Rb  0.942  0.188  0.500

=====

| no. | E (Ha/atom) |
| --- | --- |
| 1 | -0.0352 |
| 2 | -0.0340 |
| 3 | -0.0350 |
| 4 | -0.0342 |
| 5 | -0.0260 |
| 6 | -0.0364 |
| 7 | -0.0383 |
| 8 | -0.0343 |
| 9 | -0.0371 |
| 10 | -0.0371 |
| 11 | -0.0313 |
| 12 | -0.0370 |
| 13 | -0.0368 |
| 14 | -0.0341 |
| 15 | -0.0350 |
| 16 | -0.0351 |
| 17 | -0.0355 |
| 18 | -0.0349 |